Record 1
Ag5Au4 | GGA-PBEsol | optimized geometry

For the energy, the calculation gives -32.68 eV/f.u. Its formation energy is -47 meV/atom. The density of states at the Fermi level comes out at 4.42 states/eV per cell. The energy relative to the lowest polymorph listed for this composition comes out at 0.000 eV per atom.

It has space group I4/mmm (No. 139), with a = 8.631 Å, b = 8.631 Å, c = 4.025 Å, α = 90.00°, β = 90.00° and γ = 90.00°. The distinct sites, in fractional coordinates, are Ag at (0.000, 0.000, 0.000), Ag at (0.166, 0.166, 0.500) and Au at (0.000, 0.332, 0.000).



Record 2
CrSb3 | GGA-PBEsol | optimized geometry

The value obtained for the uncorrected formation energy is 0.262 eV per atom. For the energy, the calculation gives -22.87 eV/f.u. The density of states at the Fermi level comes out at 3.60 states/eV per cell.

It has space group Pmmm (No. 47), with a = 3.275 Å, b = 3.455 Å, c = 7.746 Å, α = 90.00°, β = 90.00° and γ = 90.00°. The distinct sites, in fractional coordinates, are Cr at (0.000, 0.000, 0.000), Sb at (0.000, 0.000, 0.500) and Sb at (0.500, 0.500, 0.198).



Record 3
ZrTaMo3 | GGA-PBEsol | optimized geometry

For the energy, the calculation gives -49.27 eV/f.u. Its formation energy is 1535 meV/atom. The density of states at the Fermi level comes out at 9.26 states/eV per cell. The energy relative to the lowest polymorph listed for this composition comes out at 0.000 eV per atom.

It has space group Pm-3m (No. 221), with a = 4.701 Å, b = 4.701 Å, c = 4.701 Å, α = 90.00°, β = 90.00° and γ = 90.00°. The distinct sites, in fractional coordinates, are Zr at (0.000, 0.000, 0.000), Ta at (0.500, 0.500, 0.500) and Mo at (0.000, 0.500, 0.500).